(1)
{"formula": "Mg8Cd3", "functional": "GGA-PBE", "state": "relaxed", "de_polymorph_mev_per_atom": 0, "dos_at_fermi_per_ev_fu": 5.91, "mass_density_g_cm3": 3.615, "dft_energy_ev_per_atom": -1.454, "e_form_kj_per_mol_atoms": -4, "lattice_angstrom": [[5.087, -2.265, 0.000], [5.087, 2.265, 0.000], [-2.515, 0.000, 10.597]], "species": ["Mg", "Mg", "Mg", "Mg", "Mg", "Mg", "Mg", "Mg", "Cd", "Cd", "Cd"], "fractional_positions": [[0.047, 0.047, 0.316], [0.136, 0.136, 0.956], [0.228, 0.228, 0.591], [0.324, 0.324, 0.229], [0.676, 0.676, 0.771], [0.772, 0.772, 0.409], [0.864, 0.864, 0.044], [0.953, 0.953, 0.684], [0.406, 0.406, 0.863], [0.500, 0.500, 0.500], [0.594, 0.594, 0.137]]}

=====

(2)
{"formula": "Mg7Cd", "functional": "GGA-PBE", "state": "relaxed", "de_polymorph_mev_per_atom": 0, "dos_at_fermi_per_ev_fu": 3.24, "mass_density_g_cm3": 2.609, "dft_energy_ev_per_atom": -1.543, "e_form_kj_per_mol_atoms": -3, "lattice_angstrom": [[6.280, 0.000, 0.000], [-3.140, 5.438, 0.000], [0.000, 0.000, 5.266]], "species": ["Mg", "Mg", "Mg", "Mg", "Mg", "Mg", "Mg", "Cd"], "fractional_positions": [[0.000, 0.000, 0.000], [0.000, 0.500, 0.000], [0.332, 0.166, 0.500], [0.500, 0.000, 0.000], [0.500, 0.500, 0.000], [0.834, 0.166, 0.500], [0.834, 0.668, 0.500], [0.333, 0.667, 0.500]]}

=====

(3)
{"formula": "Mg2Cd", "functional": "GGA-PBE", "state": "relaxed", "dos_at_fermi_per_ev_fu": 1.13, "mass_density_g_cm3": 4.050, "dft_energy_ev_per_atom": -1.438, "e_form_kj_per_mol_atoms": -7, "lattice_angstrom": [[3.380, 0.000, 0.000], [0.000, 4.132, 0.000], [0.000, 0.000, 9.455]], "species": ["Mg", "Mg", "Mg", "Mg", "Cd", "Cd"], "fractional_positions": [[0.000, 0.000, 0.164], [0.000, 0.000, 0.836], [0.500, 0.500, 0.336], [0.500, 0.500, 0.664], [0.000, 0.000, 0.500], [0.500, 0.500, 0.000]]}

=====

(4)
{"formula": "MgCd3", "functional": "GGA-PBE", "state": "relaxed", "de_polymorph_mev_per_atom": 42, "dos_at_fermi_per_ev_fu": 0.81, "mass_density_g_cm3": 6.719, "dft_energy_ev_per_atom": -1.114, "e_form_kj_per_mol_atoms": -3, "lattice_angstrom": [[3.168, 0.000, 0.000], [-1.584, 2.744, 0.000], [0.000, 0.000, 10.280]], "species": ["Mg", "Cd", "Cd", "Cd"], "fractional_positions": [[0.000, 0.000, 0.000], [0.000, 0.000, 0.500], [0.667, 0.333, 0.244], [0.667, 0.333, 0.756]]}

=====

(5)
{"formula": "Mg2Cd", "functional": "GGA-PBE", "state": "relaxed", "dos_at_fermi_per_ev_fu": 1.60, "mass_density_g_cm3": 4.048, "dft_energy_ev_per_atom": -1.426, "e_form_kj_per_mol_atoms": -6, "lattice_angstrom": [[3.237, 0.000, 0.000], [0.000, 9.502, 0.000], [0.000, 0.000, 4.296]], "species": ["Mg", "Mg", "Mg", "Mg", "Cd", "Cd"], "fractional_positions": [[0.012, 0.164, 0.000], [0.488, 0.664, 0.500], [0.512, 0.336, 0.500], [0.988, 0.836, 0.000], [0.000, 0.500, 0.000], [0.500, 0.000, 0.500]]}

=====

(6)
{"formula": "MgCd", "functional": "GGA-PBE", "state": "relaxed", "dos_at_fermi_per_ev_fu": 0.74, "mass_density_g_cm3": 5.096, "dft_energy_ev_per_atom": -1.293, "e_form_kj_per_mol_atoms": -4, "lattice_angstrom": [[3.202, 0.000, 0.000], [-1.601, 2.773, 0.000], [0.000, 0.000, 15.056]], "species": ["Mg", "Mg", "Mg", "Cd", "Cd", "Cd"], "fractional_positions": [[0.000, 0.000, 0.000], [0.000, 0.000, 0.331], [0.667, 0.333, 0.502], [0.000, 0.000, 0.666], [0.667, 0.333, 0.165], [0.667, 0.333, 0.836]]}